# 1
## CaFe2Hg (PBE)

Data for a relaxed CaFe2Hg crystal.

abc: 3.273 4.833 9.493
angles: 90.00 90.00 90.00
Atoms (fractional coordinates):
Ca1 0.000 0.000 0.000
Ca2 0.500 0.500 0.500
Fe1 0.000 0.000 0.459
Fe2 0.000 0.500 0.784
Fe3 0.500 0.000 0.284
Fe4 0.500 0.500 0.959
Hg1 0.000 0.500 0.214
Hg2 0.500 0.000 0.714

Total energy in eV/cell: -35.9
Size of the total moment in μB/f.u.: 5.0
SG: Imm2
ΔE_f in meV per atom: 319


# 2
## BaMnRh (PBE)

Data for a relaxed BaMnRh crystal.

abc: 3.871 4.814 10.212
angles: 96.78 90.44 113.61
Atoms (fractional coordinates):
Ba1 0.169 0.347 0.198
Ba2 0.831 0.653 0.802
Mn1 0.092 0.182 0.605
Mn2 0.908 0.818 0.395
Rh1 0.370 0.737 0.558
Rh2 0.630 0.263 0.442

Total energy in eV/cell: -36.1
Size of the total moment in μB/f.u.: 4.0
SG: P-1
ΔE_f in meV per atom: 131


# 3
## SrCaTiAu2 (PBE)

Data for a relaxed SrCaTiAu2 crystal.

abc: 5.549 5.549 5.500
angles: 90.00 90.00 90.00
Atoms (fractional coordinates):
Sr1 0.000 0.000 0.000
Ca1 0.500 0.500 0.500
Ti1 0.000 0.000 0.500
Au1 0.000 0.500 0.000
Au2 0.500 0.000 0.000

Total energy in eV/cell: -14.6
Size of the total moment in μB/f.u.: 3.3
SG: P4/mmm
ΔE_f in meV per atom: 709


# 4
## DyYSnIr (PBE)

Data for a relaxed DyYSnIr crystal.

abc: 7.200 7.200 7.200
angles: 90.00 90.00 90.00
Atoms (fractional coordinates):
Dy1 0.000 0.000 0.000
Dy2 0.000 0.500 0.500
Dy3 0.500 0.000 0.500
Dy4 0.500 0.500 0.000
Y1 0.000 0.000 0.500
Y2 0.000 0.500 0.000
Y3 0.500 0.000 0.000
Y4 0.500 0.500 0.500
Sn1 0.250 0.250 0.750
Sn2 0.250 0.750 0.250
Sn3 0.750 0.250 0.250
Sn4 0.750 0.750 0.750
Ir1 0.250 0.250 0.250
Ir2 0.250 0.750 0.750
Ir3 0.750 0.250 0.750
Ir4 0.750 0.750 0.250

Total energy in eV/cell: -105.5
Size of the total moment in μB/f.u.: 0.0
SG: F-43m
ΔE_f in meV per atom: -610


# 5
## LaIr2Ru (PBE)

Data for a relaxed LaIr2Ru crystal.

abc: 6.634 6.634 6.634
angles: 90.00 90.00 90.00
Atoms (fractional coordinates):
La1 0.000 0.000 0.000
La2 0.000 0.500 0.500
La3 0.500 0.000 0.500
La4 0.500 0.500 0.000
Ir1 0.000 0.000 0.500
Ir2 0.000 0.500 0.000
Ir3 0.250 0.250 0.750
Ir4 0.250 0.750 0.250
Ir5 0.500 0.000 0.000
Ir6 0.500 0.500 0.500
Ir7 0.750 0.250 0.250
Ir8 0.750 0.750 0.750
Ru1 0.250 0.250 0.250
Ru2 0.250 0.750 0.750
Ru3 0.750 0.250 0.750
Ru4 0.750 0.750 0.250

Total energy in eV/cell: -122.9
Size of the total moment in μB/f.u.: 2.7
SG: F-43m
Energy above the most stable polymorph in this dataset in meV per atom: 291.0
ΔE_f in meV per atom: 299


# 6
## ZrP2ClF (PBE)

Data for a relaxed ZrP2ClF crystal.

abc: 5.100 5.100 4.953
angles: 90.00 90.00 90.00
Atoms (fractional coordinates):
Zr1 0.000 0.000 0.000
P1 0.000 0.500 0.000
P2 0.500 0.000 0.000
Cl1 0.000 0.000 0.500
F1 0.500 0.500 0.500

Total energy in eV/cell: -23.7
Size of the total moment in μB/f.u.: 1.7
SG: P4/mmm
Energy relative to the elements, uncorrected in eV/atom: -0.1319
Energy above the most stable polymorph in this dataset in meV per atom: 11.2